First-principles (PBE-GGA) data for a geometry-optimized HfTi3Sb4 structure, as listed in Alexandria.

```
HfTi3Sb4
1.0
5.569 0.000 0.000
0.000 9.522 0.000
0.000 0.000 8.460
Hf Ti Sb
2 6 8
Cartesian
1.392 2.381 1.344
4.177 7.142 7.116
1.392 4.818 5.647
1.392 7.142 1.455
1.392 9.465 5.647
4.177 0.057 2.813
4.177 2.381 7.005
4.177 4.704 2.813
1.392 2.381 6.938
1.392 4.769 2.883
1.392 7.142 7.158
1.392 9.514 2.883
4.177 0.008 5.577
4.177 2.381 1.302
4.177 4.753 5.577
4.177 7.142 1.522
```

Computed properties:
For the total energy, the calculation gives -6.356 eV/atom. The total magnetization is 2.2 μB/f.u. As for the density of states at the Fermi level: 1.03 states/eV/atom.